## LaMg2Ta (PBE)

Data for a relaxed structure of LaMg2Ta.

Output
formation energy from the elements = 0.4195 eV/atom
energy above the lowest structure with this stoichiometry = 182 meV per atom

a b c (Å): 5.1112 5.1112 5.1112
angles (deg): 60.00 60.00 60.00
Atoms (fractional coordinates):
Mg  0.2500  0.2500  0.2500
Mg  0.7500  0.7500  0.7500
La  0.0000  0.0000  0.0000
Ta  0.5000  0.5000  0.5000

## LaMgTa (PBE)

Data for a relaxed structure of LaMgTa.

Output
formation energy from the elements = 1.4100 eV/atom
energy above the lowest structure with this stoichiometry = 1285 meV per atom

a b c (Å): 5.0173 5.0173 5.0173
angles (deg): 60.00 60.00 60.00
Last column: magnetic moment on the atom in μB.
Atoms (fractional coordinates):
La  0.7500  0.7500  0.7500  0.31
Mg  0.0000  0.0000  0.0000  -0.01
Ta  0.5000  0.5000  0.5000  1.15

## LaMgTa (PBE)

Data for a relaxed structure of LaMgTa.

Output
formation energy from the elements = 0.3146 eV/atom
energy above the lowest structure with this stoichiometry = 190 meV per atom

a b c (Å): 3.1430 5.5357 8.9961
angles (deg): 78.68 85.59 87.74
Atoms (fractional coordinates):
La  0.3729  0.8402  0.6939
La  0.6271  0.1598  0.3061
Mg  0.7627  0.7286  0.0744
Mg  0.2373  0.2714  0.9256
Ta  0.8238  0.3555  0.6167
Ta  0.1762  0.6445  0.3833

## LaMgTa2Tl (PBE)

Data for a relaxed structure of LaMgTa2Tl.

Output
formation energy from the elements = 1.3261 eV/atom

a b c (Å): 5.3121 4.9985 5.3121
angles (deg): 90.00 90.00 90.00
Last column: magnetic moment on the atom in μB.
Atoms (fractional coordinates):
Tl  0.0000  0.0000  0.0000  0.01
La  0.5000  0.5000  0.5000  0.09
Mg  0.0000  0.5000  0.0000  0.00
Ta  0.0000  0.0000  0.5000  0.50
Ta  0.5000  0.0000  0.0000  0.30

## La4TbMg2 (PBE)

Data for a relaxed structure of La4TbMg2.

Output
formation energy from the elements = -0.0007 eV/atom

a b c (Å): 5.6484 5.6484 9.0183
angles (deg): 71.75 71.75 60.00
Atoms (fractional coordinates):
La  0.8446  0.8446  0.4662
La  0.1554  0.1554  0.5338
La  0.5762  0.5762  0.2714
La  0.4238  0.4238  0.7286
Tb  0.0000  0.0000  0.0000
Mg  0.7100  0.7100  0.8699
Mg  0.2900  0.2900  0.1301

## La3Tb4Mg (PBE)

Data for a relaxed structure of La3Tb4Mg.

Output
formation energy from the elements = 0.0885 eV/atom

a b c (Å): 3.5752 11.8186 8.8953
angles (deg): 131.63 101.59 90.00
Atoms (fractional coordinates):
Mg  0.5000  0.0000  0.0000
Tb  0.6336  0.3789  0.2672
Tb  0.3664  0.6211  0.7328
Tb  0.3664  0.1117  0.7328
Tb  0.6336  0.8883  0.2672
La  0.0000  0.5000  0.0000
La  0.7646  0.7646  0.5292
La  0.2354  0.2354  0.4708

## LaTb3Mg2 (PBE)

Data for a relaxed structure of LaTb3Mg2.

Output
formation energy from the elements = -0.0440 eV/atom

a b c (Å): 3.7372 3.7372 12.8573
angles (deg): 90.00 90.00 90.00
Atoms (fractional coordinates):
La  0.5000  0.5000  0.5000
Tb  0.0000  0.0000  0.0000
Tb  0.0000  0.0000  0.6972
Tb  0.0000  0.0000  0.3028
Mg  0.5000  0.5000  0.8493
Mg  0.5000  0.5000  0.1507

## La4Tb2Mg (PBE)

Data for a relaxed structure of La4Tb2Mg.

Output
formation energy from the elements = 0.1331 eV/atom

a b c (Å): 7.2791 7.2789 9.2364
angles (deg): 89.15 89.15 102.12
Atoms (fractional coordinates):
La  0.9552  0.6363  0.4718
La  0.2948  0.1137  0.0282
La  0.0453  0.1729  0.3419
La  0.3637  0.0448  0.5282
La  0.8270  0.9547  0.6581
La  0.2047  0.5770  0.1581
La  0.8863  0.7052  0.9718
La  0.4229  0.7953  0.8419
Tb  0.6250  0.8750  0.2500
Tb  0.6250  0.3750  0.7500
Tb  0.1250  0.3750  0.7500
Tb  0.6250  0.3750  0.2500
Mg  0.4227  0.5773  0.5000
Mg  0.8273  0.1727  0.0000

## La7Tb4Mg (PBE)

Data for a relaxed structure of La7Tb4Mg.

Output
formation energy from the elements = 0.2045 eV/atom

a b c (Å): 5.9073 6.5090 12.6721
angles (deg): 86.58 76.52 63.01
Atoms (fractional coordinates):
La  0.7990  0.4968  0.9052
La  0.2010  0.5032  0.0948
La  0.1265  0.0186  0.7285
La  0.8735  0.9815  0.2714
La  0.3783  0.7787  0.4648
La  0.5000  0.0000  0.0000
La  0.6217  0.2213  0.5352
Tb  0.6168  0.5651  0.2013
Tb  0.3832  0.4349  0.7987
Tb  0.8752  0.6172  0.6324
Tb  0.1248  0.3828  0.3676
Mg  0.0000  0.0000  0.0000

## La2Tb4Mg (PBE)

Data for a relaxed structure of La2Tb4Mg.

Output
formation energy from the elements = 0.5613 eV/atom

a b c (Å): 4.6882 4.6882 11.5269
angles (deg): 90.00 90.00 90.00
Atoms (fractional coordinates):
La  0.5000  0.0000  0.5000
La  0.0000  0.5000  0.5000
Tb  0.7452  0.2548  0.7668
Tb  0.2548  0.2548  0.2332
Tb  0.2548  0.7452  0.7668
Tb  0.7452  0.7452  0.2332
Mg  0.0000  0.0000  0.0000

## La6Tb5Mg (PBE)

Data for a relaxed structure of La6Tb5Mg.

Output
formation energy from the elements = 0.0663 eV/atom

a b c (Å): 3.8341 10.8911 10.8911
angles (deg): 109.91 100.10 100.10
Atoms (fractional coordinates):
Mg  0.0000  0.0000  0.0000
Tb  0.5000  0.1458  0.8542
Tb  0.0000  0.3139  0.6861
Tb  0.5000  0.5000  0.5000
Tb  0.0000  0.6861  0.3139
Tb  0.5000  0.8542  0.1458
La  0.2533  0.0930  0.4188
La  0.7467  0.5812  0.9070
La  0.7296  0.2286  0.2286
La  0.2704  0.7714  0.7714
La  0.2533  0.4188  0.0930
La  0.7467  0.9070  0.5812

## La8Tb3Mg (PBE)

Data for a relaxed structure of La8Tb3Mg.

Output
formation energy from the elements = 0.4606 eV/atom

a b c (Å): 8.5383 8.5383 8.5383
angles (deg): 92.88 118.35 118.35
Atoms (fractional coordinates):
La  0.4912  0.2258  0.2258
La  0.5088  0.7346  0.7346
La  0.0000  0.7742  0.2654
La  0.0000  0.2654  0.7742
La  0.2639  0.3805  0.3805
La  0.7361  0.1167  0.1167
La  0.0000  0.6195  0.8833
La  0.0000  0.8833  0.6195
Tb  0.5000  0.7500  0.2500
Tb  0.5000  0.2500  0.7500
Tb  0.0000  0.5000  0.5000
Mg  0.0000  0.0000  0.0000

## La2Tb6Mg (PBE)

Data for a relaxed structure of La2Tb6Mg.

Output
formation energy from the elements = 0.0285 eV/atom
energy above the lowest structure with this stoichiometry = 0 meV per atom

a b c (Å): 5.1068 10.6666 10.6673
angles (deg): 90.00 90.00 90.00
Atoms (fractional coordinates):
La  0.0000  0.3377  0.8376
La  0.5000  0.8378  0.6624
La  0.5000  0.1622  0.3376
La  0.0000  0.6623  0.1624
Tb  0.0000  0.9978  0.1657
Tb  0.0000  0.6657  0.4979
Tb  0.0000  0.6711  0.8289
Tb  0.5000  0.1711  0.6711
Tb  0.5000  0.1657  0.0021
Tb  0.5000  0.4978  0.3343
Tb  0.0000  0.0022  0.8343
Tb  0.0000  0.3343  0.5021
Tb  0.0000  0.3289  0.1711
Tb  0.5000  0.8289  0.3289
Tb  0.5000  0.8343  0.9979
Tb  0.5000  0.5022  0.6657
Mg  0.5000  0.5000  0.0000
Mg  0.0000  0.0000  0.5000

## La7Tb12Mg (PBE)

Data for a relaxed structure of La7Tb12Mg.

Output
formation energy from the elements = 0.1940 eV/atom

a b c (Å): 8.8033 8.8033 8.8033
angles (deg): 88.17 88.17 88.17
Atoms (fractional coordinates):
La  0.2313  0.6484  0.7831
La  0.3516  0.2169  0.7687
La  0.2169  0.7687  0.3516
La  0.5000  0.5000  0.5000
La  0.7831  0.2313  0.6484
La  0.6484  0.7831  0.2313
La  0.7687  0.3516  0.2169
Tb  0.0134  0.3467  0.8927
Tb  0.6533  0.1073  0.9866
Tb  0.4395  0.1139  0.3491
Tb  0.8861  0.6509  0.5605
Tb  0.1073  0.9866  0.6533
Tb  0.6509  0.5605  0.8861
Tb  0.3491  0.4395  0.1139
Tb  0.8927  0.0134  0.3467
Tb  0.1139  0.3491  0.4395
Tb  0.5605  0.8861  0.6509
Tb  0.3467  0.8927  0.0134
Tb  0.9866  0.6533  0.1073
Mg  0.0000  0.0000  0.0000

## La3TbMg2 (PBE)

Data for a relaxed structure of La3TbMg2.

Output
formation energy from the elements = -0.0525 eV/atom

a b c (Å): 3.8904 3.8904 12.8999
angles (deg): 90.00 90.00 90.00
Atoms (fractional coordinates):
La  0.0000  0.0000  0.0000
La  0.0000  0.0000  0.6876
La  0.0000  0.0000  0.3124
Tb  0.5000  0.5000  0.5000
Mg  0.5000  0.5000  0.8429
Mg  0.5000  0.5000  0.1571

## La2Tb8Mg (PBE)

Data for a relaxed structure of La2Tb8Mg.

Output
formation energy from the elements = 0.1083 eV/atom
energy above the lowest structure with this stoichiometry = 0 meV per atom

a b c (Å): 5.1161 5.1161 14.0470
angles (deg): 90.00 90.00 90.00
Atoms (fractional coordinates):
La  0.0000  0.0000  0.3130
La  0.0000  0.0000  0.6870
Tb  0.0000  0.5000  0.5000
Tb  0.5000  0.0000  0.5000
Tb  0.5000  0.5000  0.3192
Tb  0.5000  0.5000  0.6808
Tb  0.0000  0.5000  0.1388
Tb  0.5000  0.0000  0.1388
Tb  0.0000  0.5000  0.8612
Tb  0.5000  0.0000  0.8612
Mg  0.0000  0.0000  0.0000

## LaTb8Mg2 (PBE)

Data for a relaxed structure of LaTb8Mg2.

Output
formation energy from the elements = 0.1414 eV/atom

a b c (Å): 5.7399 8.7486 8.9211
angles (deg): 60.64 77.58 63.99
Atoms (fractional coordinates):
La  0.5000  0.0000  0.0000
Tb  0.8656  0.0962  0.2258
Tb  0.8656  0.3220  0.7742
Tb  0.2942  0.4119  0.0000
Tb  0.5000  0.7838  0.4323
Tb  0.5000  0.2162  0.5677
Tb  0.7058  0.5881  0.0000
Tb  0.1344  0.6780  0.2258
Tb  0.1344  0.9038  0.7742
Mg  0.0000  0.3075  0.3850
Mg  0.0000  0.6925  0.6150

## La3Tb6Mg (PBE)

Data for a relaxed structure of La3Tb6Mg.

Output
formation energy from the elements = 0.1300 eV/atom
energy above the lowest structure with this stoichiometry = 0 meV per atom

a b c (Å): 6.4022 10.3099 10.3099
angles (deg): 99.78 90.00 90.00
Atoms (fractional coordinates):
La  0.4414  0.8863  0.7127
La  0.9414  0.7127  0.8863
La  0.0895  0.3567  0.6433
La  0.5895  0.6433  0.3567
La  0.9414  0.1137  0.2873
La  0.4414  0.2873  0.1137
Tb  0.0899  0.6753  0.5626
Tb  0.5899  0.5626  0.6753
Tb  0.4067  0.5922  0.9892
Tb  0.9067  0.9892  0.5922
Tb  0.2581  0.9498  0.0502
Tb  0.5948  0.2505  0.7495
Tb  0.0948  0.7495  0.2505
Tb  0.7581  0.0502  0.9498
Tb  0.4067  0.0108  0.4078
Tb  0.9067  0.4078  0.0108
Tb  0.0899  0.4374  0.3247
Tb  0.5899  0.3247  0.4374
Mg  0.1669  0.1518  0.8482
Mg  0.6669  0.8482  0.1518

## LaTb5Mg4 (PBE)

Data for a relaxed structure of LaTb5Mg4.

Output
formation energy from the elements = -0.0594 eV/atom

a b c (Å): 3.7704 3.7704 20.3637
angles (deg): 90.00 90.00 90.00
Atoms (fractional coordinates):
La  0.0000  0.0000  0.0000
Tb  0.5000  0.5000  0.1236
Tb  0.5000  0.5000  0.3124
Tb  0.5000  0.5000  0.5000
Tb  0.5000  0.5000  0.6876
Tb  0.5000  0.5000  0.8764
Mg  0.0000  0.0000  0.2183
Mg  0.0000  0.0000  0.4060
Mg  0.0000  0.0000  0.5940
Mg  0.0000  0.0000  0.7817

## LaTb2Mg2 (PBE)

Data for a relaxed structure of LaTb2Mg2.

Output
formation energy from the elements = -0.0685 eV/atom

a b c (Å): 3.8142 5.5591 14.1965
angles (deg): 90.00 97.74 90.00
Atoms (fractional coordinates):
La  0.8497  0.7500  0.7009
La  0.1503  0.2500  0.2991
Tb  0.0459  0.7500  0.0920
Tb  0.9541  0.2500  0.9080
Tb  0.2373  0.7500  0.4745
Tb  0.7627  0.2500  0.5255
Mg  0.6408  0.7500  0.2817
Mg  0.3592  0.2500  0.7183
Mg  0.4505  0.7500  0.9017
Mg  0.5495  0.2500  0.0983

## La2Tb8Mg (PBE)

Data for a relaxed structure of La2Tb8Mg.

Output
formation energy from the elements = 0.1166 eV/atom
energy above the lowest structure with this stoichiometry = 8 meV per atom

a b c (Å): 5.5797 7.7711 9.6660
angles (deg): 113.70 106.72 90.00
Atoms (fractional coordinates):
La  0.1959  0.6958  0.3915
La  0.8041  0.3042  0.6085
Tb  0.6339  0.8548  0.2670
Tb  0.3661  0.5879  0.7331
Tb  0.1731  0.1727  0.3455
Tb  0.0000  0.2672  0.0000
Tb  0.8269  0.8273  0.6545
Tb  0.6339  0.4121  0.2669
Tb  0.3661  0.1452  0.7330
Tb  0.0000  0.7328  0.0000
Mg  0.5000  0.0000  0.0000

## La3Tb2Mg2 (PBE)

Data for a relaxed structure of La3Tb2Mg2.

Output
formation energy from the elements = 0.0317 eV/atom

a b c (Å): 5.3925 3.5159 12.2186
angles (deg): 90.00 77.25 90.00
Last column: magnetic moment on the atom in μB.
Atoms (fractional coordinates):
La  0.8525  0.0000  0.2950  0.02
La  0.0000  0.0000  0.0000  0.10
La  0.1475  0.0000  0.7050  0.02
Tb  0.7126  0.5000  0.5748  0.00
Tb  0.2874  0.5000  0.4252  0.00
Mg  0.5699  0.5000  0.8602  0.00
Mg  0.4301  0.5000  0.1398  0.00